Record 1
Computed, not measured: an optimized crystal structure of Pm2Cd3Au4 at the PBE level of DFT. Values from VASP.

Quantum ESPRESSO input file:
```
&SYSTEM
  ibrav = 0, nat = 18, ntyp = 3
/
ATOMIC_SPECIES
Au 196.97 Au.upf
Cd 112.41 Cd.upf
Pm 145.00 Pm.upf
CELL_PARAMETERS angstrom
6.019 0.000 0.000
0.000 8.607 0.000
-3.009 0.000 7.971
ATOMIC_POSITIONS crystal
Au 0.289 0.250 0.077
Au 0.183 0.960 0.366
Cd 0.965 0.250 0.429
Pm 0.617 0.917 0.233
Au 0.817 0.040 0.634
Au 0.317 0.460 0.634
Au 0.683 0.540 0.366
Cd 0.500 0.500 0.000
Au 0.711 0.750 0.923
Cd 0.535 0.750 0.571
Pm 0.383 0.083 0.767
Au 0.211 0.750 0.923
Cd 0.465 0.250 0.429
Cd 0.035 0.750 0.571
Au 0.789 0.250 0.077
Pm 0.883 0.417 0.767
Pm 0.117 0.583 0.233
Cd 0.000 0.000 0.000
```

Theoretical density (g/cm3): 11.4
Polymorph energy (0 for the lowest one) (eV per formula unit): 0.63
Energy of formation from the pure elements (eV/atom): -0.482
Raw total energy (eV/atom): -3.299


Record 2
Computed, not measured: an optimized crystal structure of LaCd2Ir at the PBE level of DFT. Values from VASP.

Quantum ESPRESSO input file:
```
&SYSTEM
  ibrav = 0, nat = 4, ntyp = 3
/
ATOMIC_SPECIES
Ir 192.22 Ir.upf
Cd 112.41 Cd.upf
La 138.91 La.upf
CELL_PARAMETERS angstrom
-4.672 -2.516 3.353
-5.231 -2.345 -2.558
6.271 -0.152 0.242
ATOMIC_POSITIONS crystal
Ir 0.750 0.250 0.500
Cd 0.539 0.539 0.000
Cd 0.961 0.961 0.000
La 0.250 0.750 0.500
```

Theoretical density (g/cm3): 9.9
Energy of formation from the pure elements (eV/atom): -0.249
Raw total energy (eV/atom): -4.154


Record 3
Computed, not measured: an optimized crystal structure of BeAlCo2 at the PBE level of DFT. Values from VASP.

Quantum ESPRESSO input file:
```
&SYSTEM
  ibrav = 0, nat = 4, ntyp = 3
/
ATOMIC_SPECIES
Co 58.93 Co.upf
Al 26.98 Al.upf
Be 9.01 Be.upf
CELL_PARAMETERS angstrom
-1.313 4.398 0.745
-3.217 3.240 -0.878
-2.614 0.420 2.769
ATOMIC_POSITIONS crystal
Co 0.742 0.742 0.758
Co 0.992 0.992 0.008
Al 0.501 0.501 0.498
Be 0.265 0.265 0.236
```

Theoretical density (g/cm3): 6.0
Energy of formation from the pure elements (eV/atom): -0.270
Raw total energy (eV/atom): -5.690


Record 4
Computed, not measured: an optimized crystal structure of Sr2CaBiPt at the PBE level of DFT. Values from VASP.

Quantum ESPRESSO input file:
```
&SYSTEM
  ibrav = 0, nat = 5, ntyp = 4
/
ATOMIC_SPECIES
Sr 87.62 Sr.upf
Pt 195.08 Pt.upf
Ca 40.08 Ca.upf
Bi 208.98 Bi.upf
CELL_PARAMETERS angstrom
-0.592 -4.537 3.544
4.122 -2.822 -2.923
3.833 2.122 3.357
ATOMIC_POSITIONS crystal
Sr 0.500 0.000 0.000
Pt 0.000 0.000 0.000
Ca 0.000 0.000 0.500
Bi 0.500 0.500 0.500
Sr 0.000 0.500 0.000
```

Theoretical density (g/cm3): 5.6
Energy of formation from the pure elements (eV/atom): -0.670
Raw total energy (eV/atom): -3.728


Record 5
Computed, not measured: an optimized crystal structure of K4Rb7Ag at the PBE level of DFT. Values from VASP.

Quantum ESPRESSO input file:
```
&SYSTEM
  ibrav = 0, nat = 12, ntyp = 3
/
ATOMIC_SPECIES
Rb 85.47 Rb.upf
K 39.10 K.upf
Ag 107.87 Ag.upf
CELL_PARAMETERS angstrom
-2.516 2.483 -6.201
4.661 -7.195 -0.665
-15.429 -6.234 3.765
ATOMIC_POSITIONS crystal
Rb 0.772 0.544 0.907
K 0.320 0.640 0.730
Rb 0.139 0.277 0.453
Ag 0.000 0.000 0.000
Rb 0.411 0.821 0.361
Rb 0.861 0.723 0.547
Rb 0.228 0.456 0.093
K 0.680 0.360 0.270
K 0.045 0.090 0.813
Rb 0.589 0.179 0.639
Rb 0.500 0.000 0.000
K 0.955 0.910 0.187
```

Theoretical density (g/cm3): 1.5
Energy of formation from the pure elements (eV/atom): 0.024
Raw total energy (eV/atom): -1.144


Record 6
Computed, not measured: an optimized crystal structure of LaHg2As at the PBE level of DFT. Values from VASP.

Quantum ESPRESSO input file:
```
&SYSTEM
  ibrav = 0, nat = 8, ntyp = 3
/
ATOMIC_SPECIES
As 74.92 As.upf
Hg 200.59 Hg.upf
La 138.91 La.upf
CELL_PARAMETERS angstrom
-8.202 -1.992 1.306
2.345 -5.928 5.684
-3.075 -1.920 5.683
ATOMIC_POSITIONS crystal
As 0.250 0.750 0.500
Hg 0.375 0.414 0.750
Hg 0.586 0.125 0.250
La 0.000 0.000 0.000
La 0.750 0.250 0.500
Hg 0.875 0.836 0.750
Hg 0.164 0.625 0.250
As 0.500 0.500 0.000
```

Theoretical density (g/cm3): 9.4
Energy of formation from the pure elements (eV/atom): -0.462
Raw total energy (eV/atom): -3.007


Record 7
Computed, not measured: an optimized crystal structure of AcErIn4 at the PBE level of DFT. Values from VASP.

Quantum ESPRESSO input file:
```
&SYSTEM
  ibrav = 0, nat = 6, ntyp = 3
/
ATOMIC_SPECIES
In 114.82 In.upf
Er 167.26 Er.upf
Ac 227.00 Ac.upf
CELL_PARAMETERS angstrom
-0.942 -5.486 2.650
-0.923 -4.994 -3.495
4.335 -4.371 -0.337
ATOMIC_POSITIONS crystal
In 0.625 0.124 0.625
In 0.625 0.625 0.124
Er 0.000 0.000 0.000
In 0.124 0.625 0.625
In 0.625 0.625 0.625
Ac 0.250 0.250 0.250
```

Theoretical density (g/cm3): 8.6
Polymorph energy (0 for the lowest one) (eV per formula unit): 0.55
Energy of formation from the pure elements (eV/atom): -0.321
Raw total energy (eV/atom): -3.592


Record 8
Computed, not measured: an optimized crystal structure of La2PuSb3 at the PBE level of DFT. Values from VASP.

Quantum ESPRESSO input file:
```
&SYSTEM
  ibrav = 0, nat = 12, ntyp = 3
/
ATOMIC_SPECIES
Sb 121.76 Sb.upf
Pu 244.00 Pu.upf
La 138.91 La.upf
CELL_PARAMETERS angstrom
6.455 0.000 0.000
0.000 9.143 0.002
-3.228 -2.288 6.832
ATOMIC_POSITIONS crystal
Sb 0.159 0.080 0.319
Sb 0.159 0.580 0.319
Sb 0.500 0.750 0.000
Pu 0.000 0.750 0.000
La 0.332 0.416 0.664
La 0.668 0.084 0.336
Sb 0.500 0.250 0.000
Sb 0.841 0.920 0.681
Sb 0.841 0.420 0.681
Pu 0.000 0.250 0.000
La 0.668 0.584 0.336
La 0.332 0.916 0.664
```

ΔE_f (raw) (eV per atom): -1.03
Theoretical density (g/cm3): 7.3
Polymorph energy (0 for the lowest one) (eV per formula unit): 0.00
Raw total energy (eV/atom): -7.120


Among the records above, which one has the lowest theoretical density? K4Rb7Ag


Repeat the sixth record exactly.
Computed, not measured: an optimized crystal structure of LaHg2As at the PBE level of DFT. Values from VASP.

Quantum ESPRESSO input file:
```
&SYSTEM
  ibrav = 0, nat = 8, ntyp = 3
/
ATOMIC_SPECIES
As 74.92 As.upf
Hg 200.59 Hg.upf
La 138.91 La.upf
CELL_PARAMETERS angstrom
-8.202 -1.992 1.306
2.345 -5.928 5.684
-3.075 -1.920 5.683
ATOMIC_POSITIONS crystal
As 0.250 0.750 0.500
Hg 0.375 0.414 0.750
Hg 0.586 0.125 0.250
La 0.000 0.000 0.000
La 0.750 0.250 0.500
Hg 0.875 0.836 0.750
Hg 0.164 0.625 0.250
As 0.500 0.500 0.000
```

Theoretical density (g/cm3): 9.4
Energy of formation from the pure elements (eV/atom): -0.462
Raw total energy (eV/atom): -3.007


Which value of theoretical density does entry 4 give? 5.6 g/cm3